Entry 1:
Mg2BIrO6: relaxed, PBE.

Calculated values
- N(E_F) (states/eV/f.u.) = 5.49
- mass density (Mg/m³) = 5.501
- E_form (uncorrected) (eV/atom) = -1.335
- spin magnetization (μB/atom) = 0.103

Unit cell a=4.9305 b=4.9305 c=4.3170 alpha=90.00 beta=90.00 gamma=90.00
Fractional positions:
Mg: 0.0000 0.5000 0.0000
Mg: 0.5000 0.0000 0.0000
B: 0.0000 0.0000 0.5597
Ir: 0.5000 0.5000 0.6323
O: 0.0000 0.0000 0.2445
O: 0.2262 0.2262 0.7117
O: 0.2262 0.7738 0.7117
O: 0.5000 0.5000 0.1617
O: 0.7738 0.2262 0.7117
O: 0.7738 0.7738 0.7117

***

Entry 2:
Nd14YPb: relaxed, PBE.

Calculated values
- N(E_F) (states/eV/f.u.) = 21.95
- mass density (Mg/m³) = 7.033
- ΔH_f (0 K) (eV/atom) = -0.054
- spin magnetization (μB/atom) = 0.000

Unit cell a=7.2779 b=7.2779 c=10.3211 alpha=90.00 beta=90.00 gamma=90.00
Fractional positions:
Nd: 0.0000 0.0000 0.0000
Nd: 0.0000 0.5000 0.0000
Nd: 0.0000 0.5000 0.5000
Nd: 0.2482 0.2482 0.2545
Nd: 0.2482 0.2482 0.7455
Nd: 0.2482 0.7518 0.2545
Nd: 0.2482 0.7518 0.7455
Nd: 0.5000 0.0000 0.0000
Nd: 0.5000 0.0000 0.5000
Nd: 0.5000 0.5000 0.0000
Nd: 0.7518 0.2482 0.2545
Nd: 0.7518 0.2482 0.7455
Nd: 0.7518 0.7518 0.2545
Nd: 0.7518 0.7518 0.7455
Y: 0.5000 0.5000 0.5000
Pb: 0.0000 0.0000 0.5000

***

Entry 3:
Er3ScAg: relaxed, PBE.

Calculated values
- N(E_F) (states/eV/f.u.) = 5.54
- mass density (Mg/m³) = 7.900
- ΔH_f (0 K) (eV/atom) = 0.002
- spin magnetization (μB/atom) = 0.010

Unit cell a=6.4982 b=6.4982 c=7.6020 alpha=107.91 beta=107.91 gamma=67.31
Fractional positions:
Er: 0.0534 0.0534 0.2354
Er: 0.0894 0.5839 0.3535
Er: 0.4161 0.9106 0.6465
Er: 0.5839 0.0894 0.3535
Er: 0.9106 0.4161 0.6465
Er: 0.9466 0.9466 0.7646
Sc: 0.4401 0.4401 0.7594
Sc: 0.5599 0.5599 0.2406
Ag: 0.2622 0.2622 0.9987
Ag: 0.7378 0.7378 0.0013

***

Entry 4:
NpHSe: relaxed, PBE.

Calculated values
- N(E_F) (states/eV/f.u.) = 10.19
- calculated total energy (eV per cell) = -84.5
- mass density (Mg/m³) = 8.123
- spin magnetization (μB/atom) = 1.333

Unit cell a=6.3759 b=6.3759 c=6.3759 alpha=90.00 beta=90.00 gamma=90.00
Fractional positions:
Np: 0.0000 0.0000 0.0000
Np: 0.0000 0.5000 0.5000
Np: 0.5000 0.0000 0.5000
Np: 0.5000 0.5000 0.0000
H: 0.2500 0.2500 0.2500
H: 0.2500 0.7500 0.7500
H: 0.7500 0.2500 0.7500
H: 0.7500 0.7500 0.2500
Se: 0.2500 0.2500 0.7500
Se: 0.2500 0.7500 0.2500
Se: 0.7500 0.2500 0.2500
Se: 0.7500 0.7500 0.7500

***

Entry 5:
PmHgBiAu: relaxed, PBE.

Calculated values
- N(E_F) (states/eV/f.u.) = 2.69
- mass density (Mg/m³) = 12.107
- ΔH_f (0 K) (eV/atom) = -0.458
- spin magnetization (μB/atom) = 0.000

Unit cell a=7.4429 b=7.4429 c=7.4429 alpha=90.00 beta=90.00 gamma=90.00
Fractional positions:
Pm: 0.0000 0.0000 0.0000
Pm: 0.0000 0.5000 0.5000
Pm: 0.5000 0.0000 0.5000
Pm: 0.5000 0.5000 0.0000
Hg: 0.2500 0.2500 0.2500
Hg: 0.2500 0.7500 0.7500
Hg: 0.7500 0.2500 0.7500
Hg: 0.7500 0.7500 0.2500
Bi: 0.0000 0.0000 0.5000
Bi: 0.0000 0.5000 0.0000
Bi: 0.5000 0.0000 0.0000
Bi: 0.5000 0.5000 0.5000
Au: 0.2500 0.2500 0.7500
Au: 0.2500 0.7500 0.2500
Au: 0.7500 0.2500 0.2500
Au: 0.7500 0.7500 0.7500

***

Entry 6:
Li2Ni3Ge: relaxed, PBE.

Calculated values
- N(E_F) (states/eV/f.u.) = 3.23
- mass density (Mg/m³) = 5.565
- ΔH_f (0 K) (eV/atom) = -0.254
- spin magnetization (μB/atom) = 0.000

Unit cell a=4.7362 b=4.7362 c=4.7362 alpha=61.93 beta=61.93 gamma=61.93
Fractional positions:
Li: 0.1205 0.1205 0.1205
Li: 0.8795 0.8795 0.8795
Ni: 0.0000 0.5000 0.5000
Ni: 0.5000 0.0000 0.5000
Ni: 0.5000 0.5000 0.0000
Ge: 0.5000 0.5000 0.5000